[1]
Entry from Alexandria via LeMat-Bulk: a crystal of KNd9Si6O26 relaxed with PBEsol (meta-GGA SCAN).

Energy relative to the elements, uncorrected (eV/atom): -3.524

Structure (CIF):
```
data_KNd9Si6O26
_symmetry_space_group_name_H-M 'P 3'
_symmetry_Int_Tables_number 143
_symmetry_space_group_name_Hall 'P 3'
_cell_length_a 9.5309
_cell_length_b 9.5309
_cell_length_c 7.0913
_cell_angle_alpha 90.00
_cell_angle_beta 90.00
_cell_angle_gamma 120.00
loop_
_atom_site_label
_atom_site_type_symbol
_atom_site_fract_x
_atom_site_fract_y
_atom_site_fract_z
_atom_site_occupancy
K1 K 0.0000 0.0000 0.0000 1
Nd1 Nd 0.0000 0.0000 0.5007 1
Nd2 Nd 0.3333 0.6667 0.4971 1
Nd3 Nd 0.3333 0.6667 0.9980 1
Nd4 Nd 0.4203 0.3200 0.2450 1
Nd5 Nd 0.4355 0.0907 0.7484 1
Si1 Si 0.0366 0.7317 0.7447 1
Si2 Si 0.0658 0.3658 0.2537 1
O1 O 0.0109 0.4272 0.0650 1
O2 O 0.0231 0.4443 0.4369 1
O3 O 0.0722 0.2171 0.7279 1
O4 O 0.1547 0.6512 0.7497 1
O5 O 0.1953 0.0238 0.2697 1
O6 O 0.1957 0.7348 0.2445 1
O7 O 0.3308 0.2451 0.5617 1
O8 O 0.3386 0.2519 0.9256 1
O9 O 0.6667 0.3333 0.2487 1
O10 O 0.6667 0.3333 0.7384 1
```


[2]
Entry from Alexandria via LeMat-Bulk: a crystal of K2Nd2Ti3O10 relaxed with PBEsol (meta-GGA SCAN).

Energy relative to the elements, uncorrected (eV/atom): -3.293

Structure (CIF):
```
data_K2Nd2Ti3O10
_symmetry_space_group_name_H-M 'F m m 2'
_symmetry_Int_Tables_number 42
_symmetry_space_group_name_Hall 'F 2 -2'
_cell_length_a 5.442
_cell_length_b 29.455
_cell_length_c 5.458
_cell_angle_alpha 90.00
_cell_angle_beta 90.00
_cell_angle_gamma 90.00
loop_
_atom_site_label
_atom_site_type_symbol
_atom_site_fract_x
_atom_site_fract_y
_atom_site_fract_z
_atom_site_occupancy
K1 K 0.000 0.208 0.000 1
Nd1 Nd 0.000 0.072 0.019 1
Ti1 Ti 0.000 0.000 0.494 1
Ti2 Ti 0.000 0.140 0.502 1
O1 O 0.000 0.065 0.481 1
O2 O 0.000 0.199 0.499 1
O3 O 0.235 0.000 0.213 1
O4 O 0.248 0.126 0.750 1
```


[3]
Entry from Alexandria via LeMat-Bulk: a crystal of K3Nd3P4S16 relaxed with PBEsol (meta-GGA SCAN).

Energy relative to the elements, uncorrected (eV/atom): -1.280

Structure (CIF):
```
data_K3Nd3P4S16
_symmetry_space_group_name_H-M 'C 1 2/c 1'
_symmetry_Int_Tables_number 15
_symmetry_space_group_name_Hall '-C 2yc'
_cell_length_a 16.028
_cell_length_b 11.542
_cell_length_c 14.806
_cell_angle_alpha 90.00
_cell_angle_beta 90.87
_cell_angle_gamma 90.00
loop_
_atom_site_label
_atom_site_type_symbol
_atom_site_fract_x
_atom_site_fract_y
_atom_site_fract_z
_atom_site_occupancy
K1 K 0.000 0.000 0.000 1
K2 K 0.209 0.181 0.337 1
Nd1 Nd 0.000 0.256 0.750 1
Nd2 Nd 0.130 0.382 0.012 1
P1 P 0.084 0.315 0.525 1
P2 P 0.185 0.149 0.860 1
S1 S 0.010 0.260 0.420 1
S2 S 0.020 0.437 0.602 1
S3 S 0.091 0.052 0.805 1
S4 S 0.112 0.182 0.610 1
S5 S 0.161 0.321 0.828 1
S6 S 0.185 0.133 0.998 1
S7 S 0.188 0.392 0.477 1
S8 S 0.202 0.398 0.188 1
```


[4]
Entry from Alexandria via LeMat-Bulk: a crystal of K2NdP2S7 relaxed with PBEsol (meta-GGA SCAN).

Energy relative to the elements, uncorrected (eV/atom): -1.225

Structure (CIF):
```
data_K2NdP2S7
_symmetry_space_group_name_H-M 'P 1 21/c 1'
_symmetry_Int_Tables_number 14
_symmetry_space_group_name_Hall '-P 2ybc'
_cell_length_a 8.976
_cell_length_b 6.790
_cell_length_c 20.699
_cell_angle_alpha 90.00
_cell_angle_beta 108.61
_cell_angle_gamma 90.00
loop_
_atom_site_label
_atom_site_type_symbol
_atom_site_fract_x
_atom_site_fract_y
_atom_site_fract_z
_atom_site_occupancy
K1 K 0.160 0.037 0.312 1
K2 K 0.248 0.510 0.491 1
Nd1 Nd 0.342 0.031 0.650 1
P1 P 0.039 0.010 0.455 1
P2 P 0.428 0.514 0.330 1
S1 S 0.043 0.238 0.600 1
S2 S 0.074 0.746 0.098 1
S3 S 0.212 0.021 0.759 1
S4 S 0.274 0.035 0.494 1
S5 S 0.415 0.080 0.221 1
S6 S 0.432 0.747 0.393 1
S7 S 0.486 0.226 0.892 1
```


[5]
Entry from Alexandria via LeMat-Bulk: a crystal of KNdS2 relaxed with PBEsol (meta-GGA SCAN).

Energy relative to the elements, uncorrected (eV/atom): -2.134

Structure (CIF):
```
data_KNdS2
_symmetry_space_group_name_H-M 'R -3 m'
_symmetry_Int_Tables_number 166
_symmetry_space_group_name_Hall '-R 3 2"'
_cell_length_a 4.1350
_cell_length_b 4.1350
_cell_length_c 21.8295
_cell_angle_alpha 90.00
_cell_angle_beta 90.00
_cell_angle_gamma 120.00
loop_
_atom_site_label
_atom_site_type_symbol
_atom_site_fract_x
_atom_site_fract_y
_atom_site_fract_z
_atom_site_occupancy
K1 K 0.0000 0.0000 0.0000 1
Nd1 Nd 0.0000 0.0000 0.5000 1
S1 S 0.0000 0.0000 0.2364 1
```


[6]
Entry from Alexandria via LeMat-Bulk: a crystal of KNdTe4 relaxed with PBEsol (meta-GGA SCAN).

Energy relative to the elements, uncorrected (eV/atom): -1.092

Structure (CIF):
```
data_KNdTe4
_symmetry_space_group_name_H-M 'P 4/n b m'
_symmetry_Int_Tables_number 125
_cell_length_a 6.821
_cell_length_b 6.821
_cell_length_c 8.797
_cell_angle_alpha 90.00
_cell_angle_beta 90.00
_cell_angle_gamma 90.00
loop_
_symmetry_equiv_pos_as_xyz
'x,y,z'
'-x,-y,-z'
'-y+1/2,x,z'
'y+1/2,-x,-z'
'-x+1/2,-y+1/2,z'
'x+1/2,y+1/2,-z'
'y,-x+1/2,z'
'-y,x+1/2,-z'
'x,-y+1/2,-z'
'-x,y+1/2,z'
'-y+1/2,-x+1/2,-z'
'y+1/2,x+1/2,z'
'-x+1/2,y,-z'
'x+1/2,-y,z'
'y,x,-z'
'-y,-x,z'
loop_
_atom_site_label
_atom_site_type_symbol
_atom_site_fract_x
_atom_site_fract_y
_atom_site_fract_z
_atom_site_occupancy
K1 K 0.250 0.250 0.000 1
Nd1 Nd 0.250 0.250 0.500 1
Te1 Te 0.104 0.604 0.285 1
```


- Which value of energy relative to the elements, uncorrected does entry 6 give?
  -1.092 eV/atom


- energy relative to the elements, uncorrected of number 4 (K2NdP2S7)?
  -1.225 eV/atom


- The lowest energy relative to the elements, uncorrected belongs to which entry?
  KNd9Si6O26


- Which value of energy relative to the elements, uncorrected does entry 2 give?
  -3.293 eV/atom